# 1
The following is a PBE calculation of a relaxed Tb3PrHo crystal, from the Alexandria database.

Values from the calculation:
Space group: No. 11
Energy of formation in eV/atom: 0.286

Structure (extended XYZ):
```
10
Lattice="3.623 0.000 0.000 0.000 11.592 0.000 -1.746 0.000 8.448" Properties=species:S:1:pos:R:3 pbc="T T T"
Tb -0.069 2.898 3.066
Tb 0.027 0.005 5.798
Tb 0.027 5.791 5.798
Tb 1.850 11.587 2.650
Tb 1.850 5.800 2.650
Tb 1.946 8.694 5.382
Pr 1.504 2.898 0.134
Pr 0.373 8.694 8.314
Ho 0.131 8.694 2.719
Ho 1.746 2.898 5.729
```

=====

# 2
The following is a PBE calculation of a relaxed SrZn2O crystal, from the Alexandria database.

Values from the calculation:
Space group: No. 122
Uncorrected formation energy in eV per formula unit: -2.86

Structure (extended XYZ):
```
16
Lattice="8.072 0.000 0.000 0.000 8.072 0.000 0.000 0.000 4.856" Properties=species:S:1:pos:R:3 pbc="T T T"
Sr 0.000 0.000 0.000
Sr 0.000 4.036 1.214
Sr 4.036 0.000 3.642
Sr 4.036 4.036 2.428
Zn 1.498 2.018 3.035
Zn 2.018 5.534 4.249
Zn 2.018 6.574 1.821
Zn 2.538 2.018 0.607
Zn 5.534 6.054 0.607
Zn 6.054 1.498 1.821
Zn 6.054 2.538 4.249
Zn 6.574 6.054 3.035
O 0.000 0.000 2.428
O 0.000 4.036 3.642
O 4.036 0.000 1.214
O 4.036 4.036 0.000
```

=====

For each record above, in turn, the calculated size of the total moment values are 0.00 0.00 Bohr magnetons per cell.